# Ca3MgC GGA-PBEsol relaxed
data_Ca3MgC
_chemical_formula_sum 'Ca3 Mg1 C1'
_cell_length_a 5.907
_cell_length_b 5.907
_cell_length_c 5.907
_cell_angle_alpha 90.00
_cell_angle_beta 90.00
_cell_angle_gamma 90.00
_space_group_name_H-M_alt 'P m -3 m'
_space_group_IT_number 221
_space_group_name_Hall '-P 4 2 3'
loop_
_atom_site_label
_atom_site_type_symbol
_atom_site_fract_x
_atom_site_fract_y
_atom_site_fract_z
Ca1 Ca 0.000 0.000 0.500
Mg1 Mg 0.000 0.000 0.000
C1 C 0.500 0.500 0.500
# E_tot = -1.916 eV/atom
# formation energy from the elements = 1636 meV per atom
# Fermi-level density of states = 4.51 states/eV/f.u.
# magnetization = 2.63 μB per formula unit


# CaMg3C4O12 GGA-PBEsol relaxed
data_CaMg3C4O12
_chemical_formula_sum 'Ca3 Mg9 C12 O36'
_cell_length_a 9.5388
_cell_length_b 9.5388
_cell_length_c 7.7502
_cell_angle_alpha 90.00
_cell_angle_beta 90.00
_cell_angle_gamma 120.00
_space_group_name_H-M_alt 'R 3 2'
_space_group_IT_number 155
_space_group_name_Hall 'R 3 2"'
loop_
_atom_site_label
_atom_site_type_symbol
_atom_site_fract_x
_atom_site_fract_y
_atom_site_fract_z
Ca1 Ca 0.0000 0.0000 0.0000
Mg1 Mg 0.0000 0.5429 0.0000
C1 C 0.0000 0.0000 0.5000
C2 C 0.0000 0.4564 0.5000
O1 O 0.0000 0.5922 0.5000
O2 O 0.0000 0.8645 0.5000
O3 O 0.0100 0.2076 0.1820
# E_tot = -7.558 eV/atom
# energy relative to the elements, uncorrected = -2115 meV/atom
# Fermi-level density of states = 0.00 states/eV/f.u.
# magnetization = 0.00 μB per formula unit


# CaMg5P3CO16 GGA-PBEsol relaxed
data_CaMg5P3CO16
_chemical_formula_sum 'Ca2 Mg10 P6 C2 O32'
_cell_length_a 6.318
_cell_length_b 8.742
_cell_length_c 10.829
_cell_angle_alpha 95.35
_cell_angle_beta 100.65
_cell_angle_gamma 93.44
_space_group_name_H-M_alt 'P -1'
_space_group_IT_number 2
_space_group_name_Hall '-P 1'
loop_
_atom_site_label
_atom_site_type_symbol
_atom_site_fract_x
_atom_site_fract_y
_atom_site_fract_z
Ca1 Ca 0.124 0.318 0.065
Mg1 Mg 0.086 0.820 0.670
Mg2 Mg 0.311 0.036 0.900
Mg3 Mg 0.324 0.871 0.446
Mg4 Mg 0.350 0.529 0.619
Mg5 Mg 0.410 0.650 0.180
P1 P 0.199 0.969 0.168
P2 P 0.218 0.159 0.610
P3 P 0.371 0.669 0.923
C1 C 0.148 0.481 0.337
O1 O 0.011 0.824 0.465
O2 O 0.012 0.112 0.915
O3 O 0.030 0.580 0.640
O4 O 0.154 0.524 0.228
O5 O 0.156 0.124 0.236
O6 O 0.209 0.046 0.711
O7 O 0.218 0.577 0.993
O8 O 0.240 0.794 0.860
O9 O 0.296 0.852 0.259
O10 O 0.323 0.494 0.422
O11 O 0.331 0.316 0.674
O12 O 0.345 0.752 0.596
O13 O 0.350 0.093 0.514
O14 O 0.368 0.004 0.086
O15 O 0.438 0.267 0.966
O16 O 0.470 0.573 0.825
# E_tot = -7.157 eV/atom
# energy relative to the elements, uncorrected = -2476 meV/atom
# magnetization = 1.08 μB per formula unit


# Ca3MnC GGA-PBEsol relaxed
data_Ca3MnC
_chemical_formula_sum 'Ca3 Mn1 C1'
_cell_length_a 5.016
_cell_length_b 5.016
_cell_length_c 5.016
_cell_angle_alpha 90.00
_cell_angle_beta 90.00
_cell_angle_gamma 90.00
_space_group_name_H-M_alt 'P m -3 m'
_space_group_IT_number 221
_space_group_name_Hall '-P 4 2 3'
loop_
_atom_site_label
_atom_site_type_symbol
_atom_site_fract_x
_atom_site_fract_y
_atom_site_fract_z
Ca1 Ca 0.000 0.000 0.500
Mn1 Mn 0.500 0.500 0.500
C1 C 0.000 0.000 0.000
# E_tot = -4.616 eV/atom
# formation energy from the elements = 545 meV per atom
# Fermi-level density of states = 6.64 states/eV/f.u.
# magnetization = 4.12 μB per formula unit


# CaMnC3 GGA-PBEsol relaxed
data_CaMnC3
_chemical_formula_sum 'Ca1 Mn1 C3'
_cell_length_a 3.773
_cell_length_b 3.773
_cell_length_c 3.773
_cell_angle_alpha 90.00
_cell_angle_beta 90.00
_cell_angle_gamma 90.00
_space_group_name_H-M_alt 'P m -3 m'
_space_group_IT_number 221
_space_group_name_Hall '-P 4 2 3'
loop_
_atom_site_label
_atom_site_type_symbol
_atom_site_fract_x
_atom_site_fract_y
_atom_site_fract_z
Ca1 Ca 0.000 0.000 0.000
Mn1 Mn 0.500 0.500 0.500
C1 C 0.000 0.500 0.500
# E_tot = -7.166 eV/atom
# formation energy from the elements = 999 meV per atom
# Fermi-level density of states = 3.45 states/eV/f.u.
# magnetization = 0.00 μB per formula unit


# NaCaMnC2 GGA-PBEsol relaxed
data_NaCaMnC2
_chemical_formula_sum 'Na1 Ca1 Mn1 C2'
_cell_length_a 4.582
_cell_length_b 4.582
_cell_length_c 5.067
_cell_angle_alpha 90.00
_cell_angle_beta 90.00
_cell_angle_gamma 90.00
_space_group_name_H-M_alt 'P 4/m m m'
_space_group_IT_number 123
_space_group_name_Hall '-P 4 2'
loop_
_atom_site_label
_atom_site_type_symbol
_atom_site_fract_x
_atom_site_fract_y
_atom_site_fract_z
Na1 Na 0.000 0.000 0.000
Ca1 Ca 0.500 0.500 0.500
Mn1 Mn 0.500 0.500 0.000
C1 C 0.000 0.500 0.500
# E_tot = -3.942 eV/atom
# formation energy from the elements = 2575 meV per atom
# Fermi-level density of states = 4.76 states/eV/f.u.
# magnetization = 4.00 μB per formula unit


# CaTcMo2C GGA-PBEsol relaxed
data_CaTcMo2C
_chemical_formula_sum 'Ca1 Tc1 Mo2 C1'
_cell_length_a 4.230
_cell_length_b 4.230
_cell_length_c 4.178
_cell_angle_alpha 90.00
_cell_angle_beta 90.00
_cell_angle_gamma 90.00
_space_group_name_H-M_alt 'P 4/m m m'
_space_group_IT_number 123
_space_group_name_Hall '-P 4 2'
loop_
_atom_site_label
_atom_site_type_symbol
_atom_site_fract_x
_atom_site_fract_y
_atom_site_fract_z
Ca1 Ca 0.000 0.000 0.000
Tc1 Tc 0.500 0.500 0.000
Mo1 Mo 0.000 0.500 0.500
C1 C 0.500 0.500 0.500
# E_tot = -8.905 eV/atom
# formation energy from the elements = 410 meV per atom
# Fermi-level density of states = 4.26 states/eV/f.u.
# magnetization = 0.00 μB per formula unit


# CaCN2O GGA-PBEsol relaxed
data_CaCN2O
_chemical_formula_sum 'Ca1 C1 N2 O1'
_cell_length_a 3.061
_cell_length_b 3.061
_cell_length_c 5.740
_cell_angle_alpha 90.00
_cell_angle_beta 90.00
_cell_angle_gamma 90.00
_space_group_name_H-M_alt 'P 4/m m m'
_space_group_IT_number 123
_space_group_name_Hall '-P 4 2'
loop_
_atom_site_label
_atom_site_type_symbol
_atom_site_fract_x
_atom_site_fract_y
_atom_site_fract_z
Ca1 Ca 0.000 0.000 0.000
C1 C 0.500 0.500 0.500
N1 N 0.000 0.500 0.500
O1 O 0.500 0.500 0.000
# E_tot = -6.263 eV/atom
# energy relative to the elements, uncorrected = 553 meV/atom
# Fermi-level density of states = 2.13 states/eV/f.u.
# magnetization = 0.00 μB per formula unit


# CaC2SN GGA-PBEsol relaxed
data_CaC2SN
_chemical_formula_sum 'Ca1 C2 S1 N1'
_cell_length_a 3.869
_cell_length_b 3.869
_cell_length_c 3.982
_cell_angle_alpha 90.00
_cell_angle_beta 90.00
_cell_angle_gamma 90.00
_space_group_name_H-M_alt 'P 4/m m m'
_space_group_IT_number 123
_space_group_name_Hall '-P 4 2'
loop_
_atom_site_label
_atom_site_type_symbol
_atom_site_fract_x
_atom_site_fract_y
_atom_site_fract_z
Ca1 Ca 0.000 0.000 0.000
C1 C 0.000 0.500 0.500
S1 S 0.500 0.500 0.000
N1 N 0.500 0.500 0.500
# E_tot = -4.986 eV/atom
# energy relative to the elements, uncorrected = 1880 meV/atom
# Fermi-level density of states = 3.77 states/eV/f.u.
# magnetization = 0.00 μB per formula unit


# CaTi2CN GGA-PBEsol relaxed
data_CaTi2CN
_chemical_formula_sum 'Ca1 Ti2 C1 N1'
_cell_length_a 3.911
_cell_length_b 3.911
_cell_length_c 5.125
_cell_angle_alpha 90.00
_cell_angle_beta 90.00
_cell_angle_gamma 90.00
_space_group_name_H-M_alt 'P 4/m m m'
_space_group_IT_number 123
_space_group_name_Hall '-P 4 2'
loop_
_atom_site_label
_atom_site_type_symbol
_atom_site_fract_x
_atom_site_fract_y
_atom_site_fract_z
Ca1 Ca 0.000 0.000 0.000
Ti1 Ti 0.000 0.500 0.500
C1 C 0.500 0.500 0.000
N1 N 0.500 0.500 0.500
# E_tot = -6.993 eV/atom
# energy relative to the elements, uncorrected = 397 meV/atom
# Fermi-level density of states = 4.04 states/eV/f.u.
# magnetization = 0.00 μB per formula unit


# Na2CaC2O6 GGA-PBEsol relaxed
data_Na2CaC2O6
_chemical_formula_sum 'Na16 Ca8 C16 O48'
_cell_length_a 8.743
_cell_length_b 12.275
_cell_length_c 10.008
_cell_angle_alpha 90.00
_cell_angle_beta 90.00
_cell_angle_gamma 90.00
_space_group_name_H-M_alt 'P b c a'
_space_group_IT_number 61
_space_group_name_Hall '-P 2ac 2ab'
loop_
_atom_site_label
_atom_site_type_symbol
_atom_site_fract_x
_atom_site_fract_y
_atom_site_fract_z
Na1 Na 0.051 0.117 0.156
Na2 Na 0.060 0.088 0.600
Ca1 Ca 0.206 0.219 0.879
C1 C 0.126 0.723 0.626
C2 C 0.247 0.006 0.384
O1 O 0.049 0.719 0.517
O2 O 0.057 0.720 0.741
O3 O 0.135 0.025 0.816
O4 O 0.175 0.096 0.358
O5 O 0.195 0.557 0.979
O6 O 0.226 0.232 0.623
# E_tot = -7.059 eV/atom
# energy relative to the elements, uncorrected = -1994 meV/atom
# Fermi-level density of states = 0.00 states/eV/f.u.
# magnetization = 0.00 μB per formula unit


# Na3CaPCO7 GGA-PBEsol relaxed
data_Na3CaPCO7
_chemical_formula_sum 'Na6 Ca2 P2 C2 O14'
_cell_length_a 5.186
_cell_length_b 6.937
_cell_length_c 9.207
_cell_angle_alpha 90.00
_cell_angle_beta 90.24
_cell_angle_gamma 90.00
_space_group_name_H-M_alt 'P 1 21 1'
_space_group_IT_number 4
_space_group_name_Hall 'P 2yb'
loop_
_atom_site_label
_atom_site_type_symbol
_atom_site_fract_x
_atom_site_fract_y
_atom_site_fract_z
Na1 Na 0.000 0.000 0.000
Na2 Na 0.451 0.249 0.835
Na3 Na 0.500 0.001 0.499
Ca1 Ca 0.002 0.750 0.711
P1 P 0.009 0.750 0.337
C1 C 0.499 0.750 0.858
O1 O 0.069 0.071 0.754
O2 O 0.071 0.430 0.754
O3 O 0.144 0.250 0.518
O4 O 0.275 0.250 0.079
O5 O 0.294 0.750 0.938
O6 O 0.302 0.751 0.369
O7 O 0.485 0.751 0.718
# E_tot = -6.740 eV/atom
# energy relative to the elements, uncorrected = -2239 meV/atom
# Fermi-level density of states = 0.00 states/eV/f.u.
# magnetization = 0.00 μB per formula unit